No. 1
Compound: SiGeO3
Source: Alexandria
Functional: PBE
Structure: optimized geometry

Lattice parameters (Å, degrees): 3.5751 3.5751 3.5751 90.00 90.00 90.00
Closest atoms and distances in Å follow each position.
Space group Pm-3m (No. 221)
Symmetry-distinct sites (fractional):
Si: 0.0000 0.0000 0.0000 (multiplicity 1)  6 O 1.79
Ge: 0.5000 0.5000 0.5000 (multiplicity 1)  12 O 2.53
O: 0.0000 0.0000 0.5000 (multiplicity 3)  2 Si 1.79

## Properties
**N(E_F)**: 0.0000 states/eV/atom
**Theoretical density**: 5.4 Mg/m³
**Energy relative to the elements, uncorrected**: -1.673 eV per atom
**Uncorrected energy**: -33.28 eV per cell

***

No. 2
Compound: Sr5Hg3
Source: Alexandria
Functional: PBE
Structure: optimized geometry

Lattice parameters (Å, degrees): 4.0369 4.0369 18.3360 90.00 90.00 90.00
Closest atoms and distances in Å follow each position.
Space group P4/mmm (No. 123)
Symmetry-distinct sites (fractional):
Sr: 0.0000 0.0000 0.0000 (multiplicity 1)  8 Hg 3.52, 2 Sr 3.91
Sr: 0.0000 0.0000 0.2135 (multiplicity 2)  4 Hg 3.40
Sr: 0.5000 0.5000 0.3942 (multiplicity 2)  4 Hg 3.45
Hg: 0.0000 0.0000 0.5000 (multiplicity 1)  8 Sr 3.45
Hg: 0.5000 0.5000 0.1125 (multiplicity 2)  8 Sr 3.40-3.52

## Properties
**Polymorph energy (0 for the lowest one)**: 0 meV/atom
**N(E_F)**: 0.7183 states/eV/atom
**ΔE_f**: -0.42 eV/atom
**Theoretical density**: 5.8 Mg/m³
**Uncorrected energy**: -12.69 eV per cell

***

No. 3
Compound: RbCdSeBr2
Source: Alexandria
Functional: PBE
Structure: optimized geometry

Lattice parameters (Å, degrees): 5.7252 5.7252 5.3174 90.00 90.00 90.00
Closest atoms and distances in Å follow each position.
Space group P4/mmm (No. 123)
Symmetry-distinct sites (fractional):
Rb: 0.0000 0.0000 0.0000 (multiplicity 1)  8 Br 3.91, 4 Se 4.05
Cd: 0.5000 0.5000 0.5000 (multiplicity 1)  2 Se 2.66, 4 Br 2.86
Se: 0.5000 0.5000 0.0000 (multiplicity 1)  2 Cd 2.66
Br: 0.0000 0.5000 0.5000 (multiplicity 2)  2 Cd 2.86

## Properties
**Polymorph energy (0 for the lowest one)**: 0 meV/atom
**N(E_F)**: 0.8478 states/eV/atom
**Theoretical density**: 4.2 Mg/m³
**Energy relative to the elements, uncorrected**: -0.785 eV per atom
**Uncorrected energy**: -12.64 eV per cell

***

No. 4
Compound: AlOs2Br
Source: Alexandria
Functional: PBE
Structure: optimized geometry

Lattice parameters (Å, degrees): 5.6252 5.6252 10.8056 90.00 90.00 90.00
Closest atoms and distances in Å follow each position.
Space group I-42d (No. 122)
Symmetry-distinct sites (fractional):
Al: 0.0000 0.0000 0.0000 (multiplicity 4)  4 Os 2.43
Os: 0.2425 0.2500 0.6250 (multiplicity 8)  2 Br 2.38, 2 Al 2.43
Br: 0.0000 0.0000 0.5000 (multiplicity 4)  4 Os 2.38

## Properties
**Polymorph energy (0 for the lowest one)**: 1225 meV/atom
**N(E_F)**: 0.6987 states/eV/atom
**Theoretical density**: 9.5 Mg/m³
**Energy relative to the elements, uncorrected**: 1.486 eV per atom
**Uncorrected energy**: -87.73 eV per cell

***

No. 5
Compound: AcSm8Tm6
Source: Alexandria
Functional: PBE
Structure: optimized geometry

Lattice parameters (Å, degrees): 9.5209 9.5209 6.5497 90.00 90.00 120.00
Closest atoms and distances in Å follow each position.
Space group P-3 (No. 147)
Symmetry-distinct sites (fractional):
Ac: 0.0000 0.0000 0.0000 (multiplicity 1)  6 Tm 3.67, 6 Sm 4.05
Sm: 0.0224 0.6869 0.4001 (multiplicity 6)  4 Tm 3.24-3.57, 5 Sm 3.36-3.61
Sm: 0.3333 0.6667 0.6730 (multiplicity 2)  6 Sm 3.41-3.54, 3 Tm 3.62
Tm: 0.0956 0.4187 0.0973 (multiplicity 6)  1 Tm 3.19, 4 Sm 3.24-3.57

## Properties
**N(E_F)**: 1.3525 states/eV/atom
**ΔE_f**: 0.21 eV/atom
**Theoretical density**: 7.9 Mg/m³
**Uncorrected energy**: -65.53 eV per cell

***

No. 6
Compound: TaIr2O
Source: Alexandria
Functional: PBE
Structure: optimized geometry

Lattice parameters (Å, degrees): 4.8575 4.8575 11.6958 90.00 90.00 90.00
Closest atoms and distances in Å follow each position.
Space group I-42d (No. 122)
Symmetry-distinct sites (fractional):
Ta: 0.0000 0.0000 0.0000 (multiplicity 4)  4 Ir 2.54
Ir: 0.1519 0.2500 0.6250 (multiplicity 8)  2 O 2.04
O: 0.0000 0.0000 0.5000 (multiplicity 4)  4 Ir 2.04

## Properties
**N(E_F)**: 0.7909 states/eV/atom
**Theoretical density**: 14.0 Mg/m³
**Energy relative to the elements, uncorrected**: 0.171 eV per atom
**Uncorrected energy**: -135.40 eV per cell

***

No. 7
Compound: LaPr4H10
Source: Alexandria
Functional: PBE
Structure: optimized geometry

Lattice parameters (Å, degrees): 3.9265 3.9265 48.1556 90.00 90.00 120.00
Closest atoms and distances in Å follow each position.
Space group R-3m (No. 166, hexagonal axes)
Symmetry-distinct sites (fractional):
La: 0.0000 0.0000 0.0000 (multiplicity 3)  8 H 2.42-2.44
Pr: 0.0000 0.0000 0.1998 (multiplicity 6)  8 H 2.40
Pr: 0.0000 0.0000 0.4005 (multiplicity 6)  8 H 2.39-2.40
H: 0.0000 0.0000 0.0507 (multiplicity 6)  3 Pr 2.40, 1 La 2.44
H: 0.0000 0.0000 0.1500 (multiplicity 6)  4 Pr 2.40
H: 0.0000 0.0000 0.2496 (multiplicity 6)  4 Pr 2.40
H: 0.0000 0.0000 0.3508 (multiplicity 6)  1 Pr 2.39, 3 La 2.42
H: 0.0000 0.0000 0.4504 (multiplicity 6)  4 Pr 2.40

## Properties
**N(E_F)**: 0.4008 states/eV/atom
**Theoretical density**: 5.5 Mg/m³
**Uncorrected energy**: -201.29 eV per cell

***

No. 8
Compound: Pu2Si7Ni12
Source: Alexandria
Functional: PBE
Structure: optimized geometry

Lattice parameters (Å, degrees): 9.3662 9.3662 3.6242 90.00 90.00 120.00
Closest atoms and distances in Å follow each position.
Space group P-3 (No. 147)
Symmetry-distinct sites (fractional):
Pu: 0.3333 0.6667 0.2524 (multiplicity 2)  6 Si 2.92-2.93, 9 Ni 3.01-3.27
Si: 0.0000 0.0000 0.0000 (multiplicity 1)  6 Ni 2.29
Si: 0.1129 0.4030 0.7509 (multiplicity 6)  7 Ni 2.31-2.37
Ni: 0.0547 0.6200 0.7481 (multiplicity 6)  4 Si 2.33-2.37, 1 Ni 2.61
Ni: 0.1165 0.8574 0.2498 (multiplicity 6)  4 Si 2.29-2.36

## Properties
**N(E_F)**: 1.1527 states/eV/atom
**Theoretical density**: 8.4 Mg/m³
**Energy relative to the elements, uncorrected**: -0.562 eV per atom
**Uncorrected energy**: -147.80 eV per cell

***

No. 9
Compound: Ba2PdN2
Source: Alexandria
Functional: PBE
Structure: optimized geometry

Lattice parameters (Å, degrees): 4.1470 4.1470 13.4188 90.00 90.00 90.00
Closest atoms and distances in Å follow each position.
Space group I4/mmm (No. 139)
Symmetry-distinct sites (fractional):
Ba: 0.0000 0.0000 0.1463 (multiplicity 4)  5 N 2.80-2.93
Pd: 0.0000 0.0000 0.5000 (multiplicity 2)  2 N 1.94
N: 0.0000 0.0000 0.3553 (multiplicity 4)  1 Pd 1.94

## Properties
**N(E_F)**: 0.5066 states/eV/atom
**Theoretical density**: 5.9 Mg/m³
**Energy relative to the elements, uncorrected**: -0.292 eV per atom
**Uncorrected energy**: -54.30 eV per cell

***

No. 10
Compound: InFeOs2
Source: Alexandria
Functional: PBE
Structure: optimized geometry

Lattice parameters (Å, degrees): 2.8641 4.7830 9.1419 90.00 90.00 90.00
Closest atoms and distances in Å follow each position.
Space group Cmm2 (No. 35)
Symmetry-distinct sites (fractional):
In: 0.0000 0.0000 0.0000 (multiplicity 2)  2 Fe 2.75, 6 In 2.79-2.86, 2 Os 2.86
Fe: 0.0000 0.5000 0.2562 (multiplicity 2)  2 Os 2.55, 2 In 2.75, 4 Fe 2.79
Os: 0.0000 0.0000 0.4865 (multiplicity 2)  2 Fe 2.55, 6 Os 2.64-2.79
Os: 0.0000 0.5000 0.7294 (multiplicity 2)  8 Os 2.64-2.86, 2 In 2.86

## Properties
**N(E_F)**: 1.2206 states/eV/atom
**ΔE_f**: 0.65 eV/atom
**Theoretical density**: 14.6 Mg/m³
**Uncorrected energy**: -62.16 eV per cell

***

No. 11
Compound: TbPd2Au2
Source: Alexandria
Functional: PBE
Structure: optimized geometry

Lattice parameters (Å, degrees): 8.8034 4.6142 5.3860 90.00 117.15 90.00
Closest atoms and distances in Å follow each position.
Space group C2/m (No. 12)
Symmetry-distinct sites (fractional):
Tb: 0.0000 0.0000 0.0000 (multiplicity 2)  6 Au 2.99-3.03, 6 Pd 3.12-3.19
Pd: 0.2423 0.5000 0.3498 (multiplicity 4)  2 Pd 2.79, 5 Au 2.80-2.95
Au: 0.1203 0.5000 0.7711 (multiplicity 4)  1 Au 2.71, 5 Pd 2.80-2.95, 3 Tb 2.99-3.03

## Properties
**N(E_F)**: 0.5485 states/eV/atom
**ΔE_f**: -0.56 eV/atom
**Theoretical density**: 13.1 Mg/m³
**Uncorrected energy**: -48.79 eV per cell

***

No. 12
Compound: CaTl3N
Source: Alexandria
Functional: PBE
Structure: optimized geometry

Lattice parameters (Å, degrees): 5.9211 5.9211 5.9211 90.00 90.00 90.00
Closest atoms and distances in Å follow each position.
Space group Pm-3m (No. 221)
Symmetry-distinct sites (fractional):
Ca: 0.0000 0.0000 0.0000 (multiplicity 1)  6 Tl 2.96
Tl: 0.0000 0.0000 0.5000 (multiplicity 3)  2 Ca 2.96
N: 0.5000 0.5000 0.5000 (multiplicity 1)  12 Tl 4.19

## Properties
**Polymorph energy (0 for the lowest one)**: 1096 meV/atom
**N(E_F)**: 0.6404 states/eV/atom
**Theoretical density**: 5.3 Mg/m³
**Energy relative to the elements, uncorrected**: 1.599 eV per atom
**Uncorrected energy**: -9.43 eV per cell

***

Question: Which value of N(E_F) does entry 9 give?
Answer: 0.5066 states/eV/atom

***

Question: What is the formula in the tenth record?
Answer: InFeOs2

***

Question: Which formula does entry 9 have?
Answer: Ba2PdN2